Density functional theory data (PBE) for a relaxed structure of Pa2ZnCu3.

## Properties
The calculated formation energy is -23 kJ/mol of formula units. For the total magnetization, the calculation gives 0.0805 μB/atom. The calculation puts the calculated volume at 16.96 Å³ per atom.

Cell lengths 5.389, 5.389, 8.090 Å; angles 90.00, 90.00, 120.00 degrees
Site moments in Bohr magnetons follow the coordinates.
Positions (direct):
Pa1 0.667 0.333 0.073  0.21
Pa2 0.333 0.667 0.927  0.21
Pa3 0.667 0.333 0.427  0.21
Pa4 0.333 0.667 0.573  0.21
Cu1 0.830 0.659 0.750  0.01
Cu2 0.830 0.170 0.750  0.01
Cu3 0.170 0.830 0.250  0.01
Cu4 0.170 0.341 0.250  0.01
Cu5 0.659 0.830 0.250  0.01
Cu6 0.341 0.170 0.750  0.01
Zn1 0.000 0.000 0.000  0.00
Zn2 0.000 0.000 0.500  0.00